VASP calculation (PBE) on CaEu2Pa after structural relaxation.

Properties
DOS(E_F)   1.605 states/eV per atom
E_form   1.128 eV/f.u.
Crystal system   trigonal

Unit cell a=12.4505 b=12.4505 c=12.4505 alpha=16.46 beta=16.46 gamma=16.46
Fractional coordinates of all 4 atoms:
Ca  0.0000  0.0000  0.0000
Eu  0.2431  0.2431  0.2431
Eu  0.7569  0.7569  0.7569
Pa  0.5000  0.5000  0.5000